1.
# Si2TcPt

A relaxed Si2TcPt crystal (PBE, Alexandria).

CIF file:
```
data_Si2TcPt
_space_group_name_H-M_alt 'R 3 m'
_space_group_IT_number 160
_space_group_name_Hall 'R 3 -2"'
_cell_length_a 2.9400
_cell_length_b 2.9400
_cell_length_c 23.3874
_cell_angle_alpha 90.00
_cell_angle_beta 90.00
_cell_angle_gamma 120.00
loop_
_atom_site_label
_atom_site_type_symbol
_atom_site_fract_x
_atom_site_fract_y
_atom_site_fract_z
Si1 Si 0.0000 0.0000 0.0000
Si2 Si 0.0000 0.0000 0.2501
Tc1 Tc 0.0000 0.0000 0.7427
Pt1 Pt 0.0000 0.0000 0.5078
```

Results
**Raw formation energy**: -0.1129 eV per atom
**VASP energy**: -83.11 eV for the cell shown
**Density of states at the Fermi level**: 8.578 states/eV/cell
**Total magnetic moment**: 0.00 μB per atom



2.
# SiTc2Pt

A relaxed SiTc2Pt crystal (PBE, Alexandria).

CIF file:
```
data_SiTc2Pt
_space_group_name_H-M_alt 'R -3 m'
_space_group_IT_number 166
_space_group_name_Hall '-R 3 2"'
_cell_length_a 2.7838
_cell_length_b 2.7838
_cell_length_c 25.5666
_cell_angle_alpha 90.00
_cell_angle_beta 90.00
_cell_angle_gamma 120.00
loop_
_atom_site_label
_atom_site_type_symbol
_atom_site_fract_x
_atom_site_fract_y
_atom_site_fract_z
Si1 Si 0.0000 0.0000 0.0000
Tc1 Tc 0.0000 0.0000 0.2553
Pt1 Pt 0.0000 0.0000 0.5000
```

Results
**Raw formation energy**: -0.1550 eV per atom
**VASP energy**: -98.45 eV for the cell shown
**Density of states at the Fermi level**: 8.210 states/eV/cell
**Total magnetic moment**: 0.00 μB per atom



3.
# Si2TcPt

A relaxed Si2TcPt crystal (PBE, Alexandria).

CIF file:
```
data_Si2TcPt
_space_group_name_H-M_alt 'P 4 m m'
_space_group_IT_number 99
_space_group_name_Hall 'P 4 -2'
_cell_length_a 2.758
_cell_length_b 2.758
_cell_length_c 7.566
_cell_angle_alpha 90.00
_cell_angle_beta 90.00
_cell_angle_gamma 90.00
loop_
_atom_site_label
_atom_site_type_symbol
_atom_site_fract_x
_atom_site_fract_y
_atom_site_fract_z
Si1 Si 0.000 0.000 0.000
Si2 Si 0.500 0.500 0.267
Tc1 Tc 0.000 0.000 0.490
Pt1 Pt 0.500 0.500 0.760
```

Results
**Raw formation energy**: 0.0034 eV per atom
**VASP energy**: -27.24 eV for the cell shown
**Density of states at the Fermi level**: 3.332 states/eV/cell
**Total magnetic moment**: 0.00 μB per atom



4.
# SiTc2Pt

A relaxed SiTc2Pt crystal (PBE, Alexandria).

CIF file:
```
data_SiTc2Pt
_space_group_name_H-M_alt 'P 1 2/m 1'
_space_group_IT_number 10
_space_group_name_Hall '-P 2y'
_cell_length_a 4.663
_cell_length_b 2.770
_cell_length_c 4.668
_cell_angle_alpha 90.00
_cell_angle_beta 107.80
_cell_angle_gamma 90.00
loop_
_atom_site_label
_atom_site_type_symbol
_atom_site_fract_x
_atom_site_fract_y
_atom_site_fract_z
Si1 Si 0.000 0.000 0.000
Tc1 Tc 0.500 0.000 0.500
Tc2 Tc 0.500 0.500 0.000
Pt1 Pt 0.000 0.500 0.500
```

Results
**Raw formation energy**: -0.1085 eV per atom
**VASP energy**: -32.63 eV for the cell shown
**Density of states at the Fermi level**: 3.699 states/eV/cell
**Total magnetic moment**: 0.00 μB per atom



5.
# Si2TcPt

A relaxed Si2TcPt crystal (PBE, Alexandria).

CIF file:
```
data_Si2TcPt
_space_group_name_H-M_alt 'C 1 m 1'
_space_group_IT_number 8
_space_group_name_Hall 'C -2y'
_cell_length_a 8.823
_cell_length_b 3.073
_cell_length_c 4.245
_cell_angle_alpha 90.00
_cell_angle_beta 105.17
_cell_angle_gamma 90.00
loop_
_atom_site_label
_atom_site_type_symbol
_atom_site_fract_x
_atom_site_fract_y
_atom_site_fract_z
Si1 Si 0.000 0.000 0.000
Si2 Si 0.249 0.000 0.635
Tc1 Tc 0.014 0.500 0.531
Pt1 Pt 0.246 0.500 0.131
```

Results
**Raw formation energy**: -0.4960 eV per atom
**VASP energy**: -58.47 eV for the cell shown
**Density of states at the Fermi level**: 5.013 states/eV/cell
**Total magnetic moment**: 0.00 μB per atom



6.
# SiTc4Pt

A relaxed SiTc4Pt crystal (PBE, Alexandria).

CIF file:
```
data_SiTc4Pt
_space_group_name_H-M_alt 'F -4 3 m'
_space_group_IT_number 216
_space_group_name_Hall 'F -4 2 3'
_cell_length_a 7.189
_cell_length_b 7.189
_cell_length_c 7.189
_cell_angle_alpha 90.00
_cell_angle_beta 90.00
_cell_angle_gamma 90.00
loop_
_atom_site_label
_atom_site_type_symbol
_atom_site_fract_x
_atom_site_fract_y
_atom_site_fract_z
Si1 Si 0.000 0.000 0.000
Tc1 Tc 0.124 0.124 0.624
Pt1 Pt 0.250 0.250 0.250
```

Results
**Raw formation energy**: 0.4767 eV per atom
**VASP energy**: -200.27 eV for the cell shown
**Density of states at the Fermi level**: 25.482 states/eV/cell
**Total magnetic moment**: 0.00 μB per atom



7.
# SiTcPt

A relaxed SiTcPt crystal (PBE, Alexandria).

CIF file:
```
data_SiTcPt
_space_group_name_H-M_alt 'I 4 m m'
_space_group_IT_number 107
_space_group_name_Hall 'I 4 -2'
_cell_length_a 2.953
_cell_length_b 2.953
_cell_length_c 9.748
_cell_angle_alpha 90.00
_cell_angle_beta 90.00
_cell_angle_gamma 90.00
loop_
_atom_site_label
_atom_site_type_symbol
_atom_site_fract_x
_atom_site_fract_y
_atom_site_fract_z
Si1 Si 0.000 0.000 0.000
Tc1 Tc 0.000 0.000 0.640
Pt1 Pt 0.000 0.000 0.344
```

Results
**Raw formation energy**: -0.2819 eV per atom
**VASP energy**: -45.35 eV for the cell shown
**Density of states at the Fermi level**: 5.465 states/eV/cell
**Total magnetic moment**: 0.00 μB per atom
**Energy above the lowest structure with this stoichiometry**: 62 meV/atom



8.
# SiTc3Pt

A relaxed SiTc3Pt crystal (PBE, Alexandria).

CIF file:
```
data_SiTc3Pt
_space_group_name_H-M_alt 'P m -3 m'
_space_group_IT_number 221
_space_group_name_Hall '-P 4 2 3'
_cell_length_a 4.741
_cell_length_b 4.741
_cell_length_c 4.741
_cell_angle_alpha 90.00
_cell_angle_beta 90.00
_cell_angle_gamma 90.00
loop_
_atom_site_label
_atom_site_type_symbol
_atom_site_fract_x
_atom_site_fract_y
_atom_site_fract_z
Si1 Si 0.000 0.000 0.000
Tc1 Tc 0.000 0.500 0.500
Pt1 Pt 0.500 0.500 0.500
```

Results
**Raw formation energy**: 2.0494 eV per atom
**VASP energy**: -32.31 eV for the cell shown
**Density of states at the Fermi level**: 8.141 states/eV/cell
**Total magnetic moment**: 0.58 μB per atom
**Energy above the lowest structure with this stoichiometry**: 1200 meV/atom



9.
# SiTc2Pt

A relaxed SiTc2Pt crystal (PBE, Alexandria).

CIF file:
```
data_SiTc2Pt
_space_group_name_H-M_alt 'I -4 2 d'
_space_group_IT_number 122
_space_group_name_Hall 'I -4 2bw'
_cell_length_a 5.629
_cell_length_b 5.629
_cell_length_c 10.610
_cell_angle_alpha 90.00
_cell_angle_beta 90.00
_cell_angle_gamma 90.00
loop_
_atom_site_label
_atom_site_type_symbol
_atom_site_fract_x
_atom_site_fract_y
_atom_site_fract_z
Si1 Si 0.000 0.000 0.000
Tc1 Tc 0.240 0.250 0.125
Pt1 Pt 0.000 0.000 0.500
```

Results
**Raw formation energy**: 0.8931 eV per atom
**VASP energy**: -114.49 eV for the cell shown
**Density of states at the Fermi level**: 13.849 states/eV/cell
**Total magnetic moment**: 0.00 μB per atom



10.
# Si3TcPt2

A relaxed Si3TcPt2 crystal (PBE, Alexandria).

CIF file:
```
data_Si3TcPt2
_space_group_name_H-M_alt 'P m c 21'
_space_group_IT_number 26
_space_group_name_Hall 'P 2c -2'
_cell_length_a 3.524
_cell_length_b 9.119
_cell_length_c 5.504
_cell_angle_alpha 90.00
_cell_angle_beta 90.00
_cell_angle_gamma 90.00
loop_
_atom_site_label
_atom_site_type_symbol
_atom_site_fract_x
_atom_site_fract_y
_atom_site_fract_z
Si1 Si 0.000 0.060 0.000
Si2 Si 0.000 0.274 0.509
Si3 Si 0.500 0.373 0.168
Tc1 Tc 0.500 0.108 0.323
Pt1 Pt 0.000 0.470 0.826
Pt2 Pt 0.500 0.211 0.826
```

Results
**Raw formation energy**: -0.6217 eV per atom
**VASP energy**: -84.89 eV for the cell shown
**Density of states at the Fermi level**: 3.286 states/eV/cell
**Total magnetic moment**: 0.06 μB per atom



11.
# Si2TcPt

A relaxed Si2TcPt crystal (PBE, Alexandria).

CIF file:
```
data_Si2TcPt
_space_group_name_H-M_alt 'P 4 m m'
_space_group_IT_number 99
_space_group_name_Hall 'P 4 -2'
_cell_length_a 3.247
_cell_length_b 3.247
_cell_length_c 5.370
_cell_angle_alpha 90.00
_cell_angle_beta 90.00
_cell_angle_gamma 90.00
loop_
_atom_site_label
_atom_site_type_symbol
_atom_site_fract_x
_atom_site_fract_y
_atom_site_fract_z
Si1 Si 0.000 0.000 0.000
Si2 Si 0.500 0.500 0.285
Tc1 Tc 0.000 0.000 0.456
Pt1 Pt 0.500 0.500 0.820
```

Results
**Raw formation energy**: -0.4981 eV per atom
**VASP energy**: -29.25 eV for the cell shown
**Density of states at the Fermi level**: 1.781 states/eV/cell
**Total magnetic moment**: 0.00 μB per atom



12.
# SiTc2Pt

A relaxed SiTc2Pt crystal (PBE, Alexandria).

CIF file:
```
data_SiTc2Pt
_space_group_name_H-M_alt 'P 4/m m m'
_space_group_IT_number 123
_space_group_name_Hall '-P 4 2'
_cell_length_a 2.888
_cell_length_b 2.888
_cell_length_c 6.756
_cell_angle_alpha 90.00
_cell_angle_beta 90.00
_cell_angle_gamma 90.00
loop_
_atom_site_label
_atom_site_type_symbol
_atom_site_fract_x
_atom_site_fract_y
_atom_site_fract_z
Si1 Si 0.000 0.000 0.000
Tc1 Tc 0.500 0.500 0.215
Pt1 Pt 0.000 0.000 0.500
```

Results
**Raw formation energy**: -0.2769 eV per atom
**VASP energy**: -33.30 eV for the cell shown
**Density of states at the Fermi level**: 3.303 states/eV/cell
**Total magnetic moment**: 0.00 μB per atom



13.
# Si2Tc2Pt

A relaxed Si2Tc2Pt crystal (PBE, Alexandria).

CIF file:
```
data_Si2Tc2Pt
_space_group_name_H-M_alt 'P 4/m b m'
_space_group_IT_number 127
_space_group_name_Hall '-P 4 2ab'
_cell_length_a 6.838
_cell_length_b 6.838
_cell_length_c 2.984
_cell_angle_alpha 90.00
_cell_angle_beta 90.00
_cell_angle_gamma 90.00
loop_
_atom_site_label
_atom_site_type_symbol
_atom_site_fract_x
_atom_site_fract_y
_atom_site_fract_z
Si1 Si 0.140 0.360 0.000
Tc1 Tc 0.156 0.656 0.500
Pt1 Pt 0.000 0.000 0.000
```

Results
**Raw formation energy**: -0.3063 eV per atom
**VASP energy**: -78.30 eV for the cell shown
**Density of states at the Fermi level**: 8.505 states/eV/cell
**Total magnetic moment**: 0.00 μB per atom



14.
# SiTc3Pt

A relaxed SiTc3Pt crystal (PBE, Alexandria).

CIF file:
```
data_SiTc3Pt
_space_group_name_H-M_alt 'P m -3 m'
_space_group_IT_number 221
_space_group_name_Hall '-P 4 2 3'
_cell_length_a 4.352
_cell_length_b 4.352
_cell_length_c 4.352
_cell_angle_alpha 90.00
_cell_angle_beta 90.00
_cell_angle_gamma 90.00
loop_
_atom_site_label
_atom_site_type_symbol
_atom_site_fract_x
_atom_site_fract_y
_atom_site_fract_z
Si1 Si 0.000 0.000 0.000
Tc1 Tc 0.000 0.000 0.500
Pt1 Pt 0.500 0.500 0.500
```

Results
**Raw formation energy**: 0.8495 eV per atom
**VASP energy**: -38.31 eV for the cell shown
**Density of states at the Fermi level**: 4.904 states/eV/cell
**Total magnetic moment**: 0.00 μB per atom
**Energy above the lowest structure with this stoichiometry**: 0 meV/atom